[1]
Entry from Alexandria: a relaxed structure of CrGaAsCl2 (PBEsol).

Summary:
The total magnetization is 2.857 μB per formula unit. Its formation energy from raw total energies is 0.55 eV/atom.

Lattice parameters (Å, degrees): 4.4906 4.4906 6.0751 90.00 90.00 90.00
Fractional coordinates of all 5 atoms:
Cr  0.0000  0.0000  0.0000
Ga  0.0000  0.0000  0.5000
As  0.5000  0.5000  0.0000
Cl  0.0000  0.5000  0.5000
Cl  0.5000  0.0000  0.5000

=====

[2]
Entry from Alexandria: a relaxed structure of MnPO4 (PBEsol).

Summary:
The total magnetization is 4.000 μB per formula unit. Its formation energy from raw total energies is -1.88 eV/atom.

Lattice parameters (Å, degrees): 8.7809 8.7809 8.7809 108.48 108.48 108.48
Fractional coordinates of all 36 atoms:
Mn  0.0343  0.1729  0.7928
Mn  0.1729  0.7928  0.0343
Mn  0.2917  0.6669  0.5329
Mn  0.5329  0.2917  0.6669
Mn  0.6669  0.5329  0.2917
Mn  0.7928  0.0343  0.1729
P  0.0394  0.8020  0.6663
P  0.1520  0.3005  0.5288
P  0.3005  0.5288  0.1520
P  0.5288  0.1520  0.3005
P  0.6663  0.0394  0.8020
P  0.8020  0.6663  0.0394
O  0.0116  0.1113  0.3687
O  0.0318  0.8129  0.8422
O  0.0444  0.9731  0.6484
O  0.1113  0.3687  0.0116
O  0.1166  0.4475  0.4850
O  0.1388  0.3204  0.7050
O  0.2165  0.7976  0.6750
O  0.3204  0.7050  0.1388
O  0.3328  0.5549  0.3431
O  0.3431  0.3328  0.5549
O  0.3687  0.0116  0.1113
O  0.4475  0.4850  0.1166
O  0.4850  0.1166  0.4475
O  0.5079  0.8721  0.6284
O  0.5549  0.3431  0.3328
O  0.6284  0.5079  0.8721
O  0.6484  0.0444  0.9731
O  0.6750  0.2165  0.7976
O  0.7050  0.1388  0.3204
O  0.7976  0.6750  0.2165
O  0.8129  0.8422  0.0318
O  0.8422  0.0318  0.8129
O  0.8721  0.6284  0.5079
O  0.9731  0.6484  0.0444

=====

Among the records above, which one has the highest formation energy from raw total energies?
CrGaAsCl2